1.
The following is a GGA-PBE calculation of crystalline Ca2Bi4Sb at its relaxed geometry, from Alexandria.

POSCAR file:
```
Ca2Bi4Sb
1.0
5.834 0.000 0.000
0.000 5.834 0.000
2.917 2.917 8.107
Sb Ca Bi
1 2 4
Direct
0.000 0.000 0.000
0.614 0.614 0.772
0.386 0.386 0.228
0.808 0.808 0.384
0.192 0.192 0.616
0.000 0.500 0.000
0.500 0.000 0.000
```



2.
The following is a GGA-PBE calculation of crystalline CaBiSb2 at its relaxed geometry, from Alexandria.

POSCAR file:
```
CaBiSb2
1.0
4.769 0.000 0.000
0.000 4.928 0.000
0.000 0.000 4.928
Sb Ca Bi
2 1 1
Direct
0.000 0.000 0.500
0.000 0.500 0.000
0.500 0.000 0.000
0.500 0.500 0.500
```



3.
The following is a GGA-PBE calculation of crystalline Ca3BiSb at its relaxed geometry, from Alexandria.

POSCAR file:
```
Ca3BiSb
1.0
-0.150 -3.430 -4.688
1.669 -4.517 3.251
-5.563 -1.263 1.102
Sb Ca Bi
1 3 1
Direct
0.000 0.000 0.000
0.000 0.500 0.000
0.000 0.000 0.500
0.500 0.000 0.000
0.500 0.500 0.500
```



Number 1: D(E_F) 5.561 states/eV/f.u., E_form (uncorrected) 6.02 kJ/mol of atoms. Number 2: D(E_F) 2.136 states/eV/f.u., E_form (uncorrected) -35.48 kJ/mol of atoms. Number 3: D(E_F) 0.004 states/eV/f.u., E_form (uncorrected) -59.14 kJ/mol of atoms.